# 1
## CuAgTe (PBE-GGA)

Data for crystalline CuAgTe at its relaxed geometry.

## Properties
E above lowest polymorph   23.2 meV/atom
M_tot   0.0 μB/cell
Space-group type   P1

Cell: 4.326 4.915 7.090 Å, 75.79 80.38 74.90°
Sites, in units of the cell vectors:
Cu 0.000 0.000 0.000
Cu 0.467 0.195 0.821
Ag 0.180 0.407 0.157
Ag 0.778 0.633 0.834
Te 0.012 0.216 0.613
Te 0.508 0.818 0.206



# 2
## CuAgTe2 (PBE-GGA)

Data for crystalline CuAgTe2 at its relaxed geometry.

## Properties
M_tot   0.0 μB/cell
Space-group type   C2/m
Raw total energy   -3.32 eV/atom

Cell: 4.569 4.569 6.829 Å, 110.64 110.64 51.05°
Sites, in units of the cell vectors:
Cu 0.000 0.000 0.000
Ag 0.500 0.500 0.500
Te 0.325 0.325 0.768
Te 0.675 0.675 0.232



Repeat the second record exactly.
## CuAgTe2 (PBE-GGA)

Data for crystalline CuAgTe2 at its relaxed geometry.

## Properties
M_tot   0.0 μB/cell
Space-group type   C2/m
Raw total energy   -3.32 eV/atom

Cell: 4.569 4.569 6.829 Å, 110.64 110.64 51.05°
Sites, in units of the cell vectors:
Cu 0.000 0.000 0.000
Ag 0.500 0.500 0.500
Te 0.325 0.325 0.768
Te 0.675 0.675 0.232